Arrangement A

NbZn3C | the Alexandria database | GGA-PBE | relaxed; volume = 27.59 Å³ per atom
1.0
5.1670 0.0000 0.0000
0.0000 5.1670 0.0000
0.0000 0.0000 5.1670
Nb Zn C
1 3 1
direct
0.0000 0.0000 0.0000 Nb
0.0000 0.0000 0.5000 Zn
0.0000 0.5000 0.0000 Zn
0.5000 0.0000 0.0000 Zn
0.5000 0.5000 0.5000 C


Arrangement B

NbZn3C | the Alexandria database | GGA-PBE | relaxed; volume = 14.29 Å³ per atom
1.0
4.1496 0.0000 0.0000
0.0000 4.1496 0.0000
0.0000 0.0000 4.1496
Nb Zn C
1 3 1
direct
0.0000 0.0000 0.0000 Nb
0.0000 0.5000 0.5000 Zn
0.5000 0.0000 0.5000 Zn
0.5000 0.5000 0.0000 Zn
0.5000 0.5000 0.5000 C


arrangement B takes first place; second place is 1433 meV/atom up.